[1]
Entry from Alexandria: an optimized crystal structure of TcSb2Te (GGA-PBEsol).

Cell: 3.135 3.135 10.018 Å, 90.00 90.00 113.27°
Sites, in units of the cell vectors:
1 Sb 0.000 0.000 0.997
2 Sb 0.500 0.500 0.705
3 Tc 0.000 0.000 0.502
4 Te 0.500 0.500 0.296

Calculated total energy in eV per cell: -22.3
Formation energy from raw total energies in kJ/mol of formula units: 153
ΔE to the lowest computed polymorph in meV per atom: 0
Calculated density in Mg/m³: 8.6

---

[2]
Entry from Alexandria: an optimized crystal structure of ZrAl3Br (GGA-PBEsol).

Cell: 4.834 4.834 4.834 Å, 90.00 90.00 90.00°
Sites, in units of the cell vectors:
1 Br 0.000 0.000 0.000
2 Zr 0.500 0.500 0.500
3 Al 0.000 0.500 0.000
4 Al 0.000 0.000 0.500
5 Al 0.500 0.000 0.000

Calculated total energy in eV per cell: -19.2
Formation energy from raw total energies in kJ/mol of formula units: 386
Calculated density in Mg/m³: 3.7

---

| no. | magnetic moment (μB per cell) |
| --- | --- |
| 1 | 0.0 |
| 2 | 0.0 |